# 1
DFT (GGA-PBE) results for a relaxed AgTeCl crystal.

DFT total energy	-2.492	eV per atom
offset from the most stable computed form	0.386	eV/atom
formation energy without anion corrections	121	meV per atom
total magnetization	0.00	μB/f.u.

Cell and atoms, written as CIF:
```
data_AgTeCl
_cell_length_a 4.8519
_cell_length_b 4.8519
_cell_length_c 3.4259
_cell_angle_alpha 90.00
_cell_angle_beta 90.00
_cell_angle_gamma 120.00
_symmetry_space_group_name_H-M 'P 3 m 1'
_symmetry_Int_Tables_number 156
loop_
_symmetry_equiv_pos_as_xyz
'x,y,z'
'-y,x-y,z'
'-x+y,-x,z'
'-y,-x,z'
'-x+y,y,z'
'x,x-y,z'
loop_
_atom_site_label
_atom_site_type_symbol
_atom_site_fract_x
_atom_site_fract_y
_atom_site_fract_z
Ag1 Ag 0.0000 0.0000 0.0000
Te1 Te 0.3333 0.6667 0.7563
Cl1 Cl 0.6667 0.3333 0.2863
```

# 2
DFT (GGA-PBE) results for a relaxed Tb8NdCd2 crystal.

DFT total energy	-3.649	eV per atom
formation energy from the elements	0.318	eV per atom
total magnetization	0.00	μB/f.u.

Cell and atoms, written as CIF:
```
data_Tb8NdCd2
_cell_length_a 13.961
_cell_length_b 10.608
_cell_length_c 5.286
_cell_angle_alpha 90.00
_cell_angle_beta 101.25
_cell_angle_gamma 90.00
_symmetry_space_group_name_H-M 'C 1 2/m 1'
_symmetry_Int_Tables_number 12
loop_
_symmetry_equiv_pos_as_xyz
'x,y,z'
'-x,-y,-z'
'-x,y,-z'
'x,-y,z'
'x+1/2,y+1/2,z'
'-x+1/2,-y+1/2,-z'
'-x+1/2,y+1/2,-z'
'x+1/2,-y+1/2,z'
loop_
_atom_site_label
_atom_site_type_symbol
_atom_site_fract_x
_atom_site_fract_y
_atom_site_fract_z
Tb1 Tb 0.084 0.000 0.291
Tb2 Tb 0.097 0.233 0.791
Tb3 Tb 0.239 0.500 0.121
Nd1 Nd 0.000 0.500 0.000
Cd1 Cd 0.132 0.500 0.558
```

# 3
DFT (GGA-PBE) results for a relaxed ScGeSeS crystal.

DFT total energy	-5.527	eV per atom
offset from the most stable computed form	0.070	eV/atom
formation energy without anion corrections	-887	meV per atom
total magnetization	0.00	μB/f.u.

Cell and atoms, written as CIF:
```
data_ScGeSeS
_cell_length_a 6.891
_cell_length_b 3.573
_cell_length_c 7.232
_cell_angle_alpha 90.00
_cell_angle_beta 91.28
_cell_angle_gamma 90.00
_symmetry_space_group_name_H-M 'C 1 m 1'
_symmetry_Int_Tables_number 8
loop_
_symmetry_equiv_pos_as_xyz
'x,y,z'
'x,-y,z'
'x+1/2,y+1/2,z'
'x+1/2,-y+1/2,z'
loop_
_atom_site_label
_atom_site_type_symbol
_atom_site_fract_x
_atom_site_fract_y
_atom_site_fract_z
Sc1 Sc 0.000 0.000 0.000
Ge1 Ge 0.034 0.500 0.476
Se1 Se 0.325 0.000 0.767
S1 S 0.328 0.000 0.200
```

# 4
DFT (GGA-PBE) results for a relaxed Ni2IN crystal.

DFT total energy	-5.072	eV per atom
offset from the most stable computed form	0.000	eV/atom
formation energy without anion corrections	288	meV per atom
total magnetization	0.00	μB/f.u.

Cell and atoms, written as CIF:
```
data_Ni2IN
_cell_length_a 4.878
_cell_length_b 4.878
_cell_length_c 10.598
_cell_angle_alpha 90.00
_cell_angle_beta 90.00
_cell_angle_gamma 90.00
_symmetry_space_group_name_H-M 'I -4 2 d'
_symmetry_Int_Tables_number 122
_symmetry_space_group_name_Hall 'I -4 2bw'
loop_
_atom_site_label
_atom_site_type_symbol
_atom_site_fract_x
_atom_site_fract_y
_atom_site_fract_z
Ni1 Ni 0.095 0.250 0.125
I1 I 0.000 0.000 0.500
N1 N 0.000 0.000 0.000
```

# 5
DFT (GGA-PBE) results for a relaxed Li2AuSe crystal.

DFT total energy	-3.302	eV per atom
offset from the most stable computed form	0.016	eV/atom
formation energy without anion corrections	-655	meV per atom
total magnetization	0.00	μB/f.u.

Cell and atoms, written as CIF:
```
data_Li2AuSe
_cell_length_a 6.428
_cell_length_b 6.428
_cell_length_c 6.428
_cell_angle_alpha 90.00
_cell_angle_beta 90.00
_cell_angle_gamma 90.00
_symmetry_space_group_name_H-M 'F m -3 m'
_symmetry_Int_Tables_number 225
_symmetry_space_group_name_Hall '-F 4 2 3'
loop_
_atom_site_label
_atom_site_type_symbol
_atom_site_fract_x
_atom_site_fract_y
_atom_site_fract_z
Li1 Li 0.250 0.250 0.250
Au1 Au 0.000 0.000 0.000
Se1 Se 0.000 0.000 0.500
```

# 6
DFT (GGA-PBE) results for a relaxed NaNdZn4 crystal.

DFT total energy	-2.018	eV per atom
formation energy from the elements	-0.154	eV per atom
total magnetization	0.00	μB/f.u.

Cell and atoms, written as CIF:
```
data_NaNdZn4
_cell_length_a 7.801
_cell_length_b 7.801
_cell_length_c 7.801
_cell_angle_alpha 90.00
_cell_angle_beta 90.00
_cell_angle_gamma 90.00
_symmetry_space_group_name_H-M 'F -4 3 m'
_symmetry_Int_Tables_number 216
_symmetry_space_group_name_Hall 'F -4 2 3'
loop_
_atom_site_label
_atom_site_type_symbol
_atom_site_fract_x
_atom_site_fract_y
_atom_site_fract_z
Na1 Na 0.000 0.000 0.000
Nd1 Nd 0.250 0.250 0.250
Zn1 Zn 0.125 0.125 0.625
```

| no. | D(E_F) (states/eV/cell) |
| --- | --- |
| 1 | 2.71 |
| 2 | 33.48 |
| 3 | 2.86 |
| 4 | 9.50 |
| 5 | 4.75 |
| 6 | 22.79 |